The following is a DFT calculation (GGA+U) of a relaxed Rb2CrOsO crystal.

Computed properties:
total DFT energy (no corrections): -4.86 eV/atom

Cell lengths 6.4080, 6.4080, 3.7056 Å; angles 90.00, 90.00, 90.00 degrees
With the nearest neighbours (Å) after each atom.
Space group P4/mmm (No. 123)
One atom of each set of equivalent atoms:
Rb (0.0000, 0.5000, 0.0000) (multiplicity 2)  2 O 3.20
Cr (0.0000, 0.0000, 0.5000) (multiplicity 1)  8 Rb 3.70, 2 Cr 3.71
Os (0.5000, 0.5000, 0.5000) (multiplicity 1)  2 O 1.85
O (0.5000, 0.5000, 0.0000) (multiplicity 1)  2 Os 1.85